(1)
Density functional theory data (PBEsol) for crystalline KMn2Te at its relaxed geometry.

a b c (Å): 4.0402 4.0402 7.2261
angles (deg): 73.77 73.77 60.00
Site moments in Bohr magnetons follow the coordinates.
Element x y z (fractional)
K  0.7451  0.7451  0.7647  0.01
Mn  0.9525  0.9525  0.1424  3.13
Mn  0.2674  0.2674  0.1979  -2.32
Te  0.5401  0.5401  0.3797  0.03

Total magnetic moment, μB per formula unit: 1.04
Formation energy (no corrections), eV/f.u.: 0.73
V, A^3/atom: 24.17
E, eV per cell: -23.5
SG: R3m, No. 160

=====

(2)
Density functional theory data (PBEsol) for crystalline SrRePt2 at its relaxed geometry.

a b c (Å): 2.7997 3.7365 7.1183
angles (deg): 90.00 89.98 90.00
Element x y z (fractional)
Pt  0.0002  0.0000  0.8106
Pt  0.9998  0.0000  0.1894
Re  0.5000  0.5000  0.0000
Sr  0.5000  0.5000  0.5000

Total magnetic moment, μB per formula unit: 0.00
Excess energy over the best structure of this formula in the dataset, eV/atom: 0.000
V, A^3/atom: 18.62
E, eV per cell: -29.3
Formation enthalpy at 0 K, eV per atom: -0.04
SG: Pmmm, No. 47

=====

(3)
Density functional theory data (PBEsol) for crystalline KHgOs2 at its relaxed geometry.

a b c (Å): 2.7195 4.2916 8.0216
angles (deg): 94.41 90.00 108.47
Element x y z (fractional)
Hg  0.5195  0.0390  0.5512
K  0.7519  0.5038  0.2277
Os  0.9871  0.9741  0.9189
Os  0.2415  0.4831  0.8022

Total magnetic moment, μB per formula unit: 0.00
V, A^3/atom: 22.13
E, eV per cell: -23.2
Formation enthalpy at 0 K, eV per atom: 0.73
SG: Cm, No. 8

=====

(4)
Density functional theory data (PBEsol) for crystalline CaTi2O4 at its relaxed geometry.

a b c (Å): 3.0256 5.0905 10.0389
angles (deg): 90.00 90.00 107.29
Element x y z (fractional)
Ca  0.3802  0.7605  0.7500
Ca  0.6198  0.2395  0.2500
Ti  0.8756  0.7512  0.4350
Ti  0.1244  0.2488  0.5650
Ti  0.8756  0.7512  0.0650
Ti  0.1244  0.2488  0.9350
O  0.2327  0.4653  0.1074
O  0.7673  0.5347  0.8926
O  0.7673  0.5347  0.6074
O  0.2327  0.4653  0.3926
O  0.9378  0.8756  0.2500
O  0.0622  0.1244  0.7500
O  0.5000  0.0000  0.5000
O  0.5000  0.0000  0.0000

Total magnetic moment, μB per formula unit: 0.00
Excess energy over the best structure of this formula in the dataset, eV/atom: 0.000
Formation energy (no corrections), eV/f.u.: -21.17
V, A^3/atom: 10.55
E, eV per cell: -121.9
SG: Cmcm, No. 63

=====

(5)
Density functional theory data (PBEsol) for crystalline K2Mg5Cu3As6O24 at its relaxed geometry.

a b c (Å): 6.7694 8.7893 8.8411
angles (deg): 92.56 105.16 105.67
Site moments in Bohr magnetons follow the coordinates.
Element x y z (fractional)
K  0.2478  0.9869  0.0127  0.00
K  0.7523  0.0209  0.9839  0.00
Mg  0.2485  0.2559  0.7421  0.00
Mg  0.7505  0.7443  0.2571  0.00
Mg  0.3711  0.9394  0.6248  0.00
Mg  0.8730  0.6214  0.9396  0.00
Mg  0.6271  0.0607  0.3755  0.00
Cu  0.2491  0.5054  0.5009  0.40
Cu  0.7497  0.4976  0.5022  0.59
Cu  0.1425  0.3817  0.0680  0.57
As  0.3762  0.6442  0.8809  0.00
As  0.1285  0.1254  0.3520  0.01
As  0.6275  0.3538  0.1231  0.01
As  0.8710  0.8773  0.6466  0.01
As  0.7514  0.2831  0.7139  0.00
As  0.2484  0.7161  0.2851  0.00
O  0.3808  0.3338  0.9901  0.07
O  0.1183  0.0082  0.6658  0.01
O  0.6222  0.6675  0.0113  0.01
O  0.8811  0.9931  0.3298  0.01
O  0.2318  0.5131  0.2805  0.09
O  0.2597  0.7254  0.4847  0.06
O  0.7690  0.4850  0.7248  0.09
O  0.7341  0.2756  0.5132  0.09
O  0.1861  0.2787  0.5004  0.04
O  0.3193  0.4986  0.7257  0.03
O  0.8133  0.7233  0.4984  0.06
O  0.6831  0.5012  0.2772  0.06
O  0.8216  0.4036  0.0269  0.05
O  0.6761  0.9709  0.5931  0.01
O  0.1805  0.5889  0.9774  0.07
O  0.3193  0.0277  0.4031  0.01
O  0.9754  0.2414  0.8199  0.01
O  0.5212  0.1736  0.7507  0.00
O  0.0226  0.7522  0.1728  0.00
O  0.4772  0.8257  0.2479  0.00
O  0.6179  0.1736  0.1838  0.00
O  0.8755  0.8145  0.8247  0.00
O  0.3747  0.8227  0.8183  0.01
O  0.1247  0.1874  0.1715  0.05

Total magnetic moment, μB per formula unit: 2.54
Formation energy (no corrections), eV/f.u.: -66.11
V, A^3/atom: 12.13
E, eV per cell: -246.6
SG: P1, No. 1

=====

(6)
Density functional theory data (PBEsol) for crystalline Ta2NiPt at its relaxed geometry.

a b c (Å): 2.7674 3.9364 5.4971
angles (deg): 90.00 89.89 90.00
Element x y z (fractional)
Ni  0.5000  0.5000  0.0000
Pt  0.5000  0.5000  0.5000
Ta  0.9995  0.0000  0.7569
Ta  0.0005  0.0000  0.2431

Total magnetic moment, μB per formula unit: 0.00
V, A^3/atom: 14.97
E, eV per cell: -39.9
Formation enthalpy at 0 K, eV per atom: -0.41
SG: P2/m, No. 10

=====

(7)
Density functional theory data (PBEsol) for crystalline SrDy2CuO5 at its relaxed geometry.

a b c (Å): 5.5626 7.0435 11.9295
angles (deg): 90.00 90.00 90.00
Site moments in Bohr magnetons follow the coordinates.
Element x y z (fractional)
Sr  0.7500  0.0816  0.0874  0.00
Sr  0.7500  0.4184  0.5874  0.00
Sr  0.2500  0.5816  0.4126  0.00
Sr  0.2500  0.9184  0.9126  0.00
Dy  0.2500  0.3957  0.0738  0.07
Dy  0.7500  0.6146  0.2126  -0.02
Dy  0.7500  0.8854  0.7126  -0.02
Dy  0.2500  0.1146  0.2874  -0.02
Dy  0.7500  0.6043  0.9262  0.07
Dy  0.7500  0.8957  0.4262  0.07
Dy  0.2500  0.1043  0.5738  0.07
Dy  0.2500  0.3854  0.7874  -0.02
Cu  0.2500  0.7816  0.1627  0.56
Cu  0.7500  0.2184  0.8373  0.56
Cu  0.7500  0.2816  0.3373  0.56
Cu  0.2500  0.7184  0.6627  0.56
O  0.2500  0.4266  0.5952  0.00
O  0.7500  0.5734  0.4048  0.00
O  0.7500  0.9266  0.9048  0.00
O  0.2500  0.0734  0.0952  0.00
O  0.0062  0.8497  0.2765  0.10
O  0.5062  0.1503  0.7235  0.10
O  0.9938  0.3497  0.2235  0.10
O  0.4938  0.6503  0.7765  0.10
O  0.9938  0.1503  0.7235  0.10
O  0.4938  0.8497  0.2765  0.10
O  0.0062  0.6503  0.7765  0.10
O  0.5062  0.3497  0.2235  0.10
O  0.4920  0.6675  0.0659  0.10
O  0.9920  0.3325  0.9341  0.10
O  0.5080  0.1675  0.4341  0.10
O  0.0080  0.8325  0.5659  0.10
O  0.9920  0.1675  0.4341  0.10
O  0.4920  0.8325  0.5659  0.10
O  0.0080  0.6675  0.0659  0.10
O  0.5080  0.3325  0.9341  0.10

Total magnetic moment, μB per formula unit: 1.00
Formation energy (no corrections), eV/f.u.: -24.84
V, A^3/atom: 12.98
E, eV per cell: -268.9
SG: Pnma, No. 62

=====

(8)
Density functional theory data (PBEsol) for crystalline InCo4P at its relaxed geometry.

a b c (Å): 4.7561 4.7561 4.7561
angles (deg): 60.00 60.00 60.00
Site moments in Bohr magnetons follow the coordinates.
Element x y z (fractional)
Co  0.3744  0.3744  0.3744  1.52
Co  0.3744  0.3744  0.8767  1.52
Co  0.8767  0.3744  0.3744  1.52
Co  0.3744  0.8767  0.3744  1.52
In  0.7500  0.7500  0.7500  -0.07
P  0.0000  0.0000  0.0000  0.01

Total magnetic moment, μB per formula unit: 6.00
V, A^3/atom: 12.68
E, eV per cell: -37.9
Formation enthalpy at 0 K, eV per atom: 0.30
SG: F-43m, No. 216

=====

total magnetic moment of number 6 (Ta2NiPt)?
0.00 μB per formula unit

=====

Which formula does entry 3 have?
KHgOs2